1.
# DyCd3Ag PBE relaxed
# - E_tot (eV/atom) = -2.206
# - DOS(E_F) (states/eV per atom) = 0.571
# - formation enthalpy at 0 K (eV per atom) = -0.167
# - theoretical density (g/cm3) = 8.59
data_DyCd3Ag
_chemical_formula_sum 'Dy4 Cd12 Ag4'
_cell_length_a 4.2394
_cell_length_b 9.2217
_cell_length_c 12.0219
_cell_angle_alpha 90.00
_cell_angle_beta 90.00
_cell_angle_gamma 90.00
_symmetry_space_group_name_H-M 'P 1'
_symmetry_Int_Tables_number 1
_symmetry_space_group_name_Hall 'P 1'
loop_
_atom_site_label
_atom_site_type_symbol
_atom_site_fract_x
_atom_site_fract_y
_atom_site_fract_z
Dy1 Dy 0.7500 0.8199 0.9979
Dy2 Dy 0.2500 0.6801 0.4979
Dy3 Dy 0.7500 0.3199 0.5021
Dy4 Dy 0.2500 0.1801 0.0021
Cd1 Cd 0.2500 0.5671 0.0968
Cd2 Cd 0.7500 0.4329 0.9032
Cd3 Cd 0.2500 0.0671 0.4032
Cd4 Cd 0.7500 0.9329 0.5968
Cd5 Cd 0.2500 0.4189 0.6983
Cd6 Cd 0.7500 0.0811 0.1983
Cd7 Cd 0.2500 0.9189 0.8017
Cd8 Cd 0.7500 0.6485 0.7011
Cd9 Cd 0.2500 0.3515 0.2989
Cd10 Cd 0.7500 0.1485 0.7989
Cd11 Cd 0.7500 0.5811 0.3017
Cd12 Cd 0.2500 0.8515 0.2011
Ag1 Ag 0.2500 0.1355 0.6306
Ag2 Ag 0.2500 0.6355 0.8694
Ag3 Ag 0.7500 0.3645 0.1306
Ag4 Ag 0.7500 0.8645 0.3694

2.
# Dy12Cd6Ag PBE relaxed
# - E_tot (eV/atom) = -3.446
# - DOS(E_F) (states/eV per atom) = 1.222
# - formation enthalpy at 0 K (eV per atom) = -0.101
# - theoretical density (g/cm3) = 8.70
data_Dy12Cd6Ag
_chemical_formula_sum 'Dy12 Cd6 Ag1'
_cell_length_a 8.0537
_cell_length_b 8.0537
_cell_length_c 8.0537
_cell_angle_alpha 88.33
_cell_angle_beta 88.33
_cell_angle_gamma 88.33
_symmetry_space_group_name_H-M 'P 1'
_symmetry_Int_Tables_number 1
_symmetry_space_group_name_Hall 'P 1'
loop_
_atom_site_label
_atom_site_type_symbol
_atom_site_fract_x
_atom_site_fract_y
_atom_site_fract_z
Dy1 Dy 0.8031 0.5316 0.4450
Dy2 Dy 0.4450 0.8031 0.5316
Dy3 Dy 0.5316 0.4450 0.8031
Dy4 Dy 0.1969 0.4684 0.5550
Dy5 Dy 0.5550 0.1969 0.4684
Dy6 Dy 0.4684 0.5550 0.1969
Dy7 Dy 0.0171 0.1494 0.3639
Dy8 Dy 0.8506 0.6361 0.9829
Dy9 Dy 0.6361 0.9829 0.8506
Dy10 Dy 0.9829 0.8506 0.6361
Dy11 Dy 0.1494 0.3639 0.0171
Dy12 Dy 0.3639 0.0171 0.1494
Cd1 Cd 0.7336 0.8912 0.2641
Cd2 Cd 0.7359 0.2664 0.1088
Cd3 Cd 0.1088 0.7359 0.2664
Cd4 Cd 0.2664 0.1088 0.7359
Cd5 Cd 0.2641 0.7336 0.8912
Cd6 Cd 0.8912 0.2641 0.7336
Ag1 Ag 0.0000 0.0000 0.0000

3.
# DyCd10Ag2 PBE relaxed
# - E_tot (eV/atom) = -1.586
# - DOS(E_F) (states/eV per atom) = 0.433
# - formation enthalpy at 0 K (eV per atom) = -0.090
# - theoretical density (g/cm3) = 8.72
data_DyCd10Ag2
_chemical_formula_sum 'Dy1 Cd10 Ag2'
_cell_length_a 5.7903
_cell_length_b 7.5824
_cell_length_c 7.6196
_cell_angle_alpha 81.66
_cell_angle_beta 67.67
_cell_angle_gamma 67.55
_symmetry_space_group_name_H-M 'P 1'
_symmetry_Int_Tables_number 1
_symmetry_space_group_name_Hall 'P 1'
loop_
_atom_site_label
_atom_site_type_symbol
_atom_site_fract_x
_atom_site_fract_y
_atom_site_fract_z
Dy1 Dy 0.0000 0.0000 0.0000
Cd1 Cd 0.3476 0.6457 0.6591
Cd2 Cd 0.6524 0.3543 0.3409
Cd3 Cd 0.9933 0.3543 0.6591
Cd4 Cd 0.0067 0.6457 0.3409
Cd5 Cd 0.0000 0.0000 0.5000
Cd6 Cd 0.5000 0.0000 0.5000
Cd7 Cd 0.2887 0.2148 0.2079
Cd8 Cd 0.7113 0.7852 0.7921
Cd9 Cd 0.5034 0.7852 0.2079
Cd10 Cd 0.4966 0.2148 0.7921
Ag1 Ag 0.0000 0.5000 0.0000
Ag2 Ag 0.5000 0.5000 0.0000